Record 1
Computed, not measured: a relaxed structure of Cs2Rb2HgAs2 at the PBE-GGA level of DFT. Values from VASP.

Summary:
Its energy is -16.3 eV per cell.

Geometry as Quantum ESPRESSO input:
```
&SYSTEM
  ibrav = 0, nat = 7, ntyp = 4
/
ATOMIC_SPECIES
As 74.92 As.upf
Cs 132.91 Cs.upf
Hg 200.59 Hg.upf
Rb 85.47 Rb.upf
ATOMIC_POSITIONS crystal
As 0.9151 0.9151 0.9151
As 0.0849 0.0849 0.0849
Cs 0.2075 0.2075 0.2075
Cs 0.7925 0.7925 0.7925
Hg 0.0000 0.0000 0.0000
Rb 0.3837 0.3837 0.3837
Rb 0.6163 0.6163 0.6163
CELL_PARAMETERS angstrom
3.0794 1.7779 9.9037
-3.0794 1.7779 9.9037
0.0000 -3.5558 9.9037
```

***

Record 2
Computed, not measured: a relaxed structure of Cs2Rb2HgAs2 at the PBE-GGA level of DFT. Values from VASP.

Summary:
Its energy is -16.2 eV per cell.

Geometry as Quantum ESPRESSO input:
```
&SYSTEM
  ibrav = 0, nat = 7, ntyp = 4
/
ATOMIC_SPECIES
Hg 200.59 Hg.upf
As 74.92 As.upf
Cs 132.91 Cs.upf
Rb 85.47 Rb.upf
ATOMIC_POSITIONS crystal
Hg 0.0000 0.0000 0.0000
As 0.9116 0.9116 0.9116
As 0.0884 0.0884 0.0884
Cs 0.3837 0.3837 0.3837
Cs 0.6163 0.6163 0.6163
Rb 0.7924 0.7924 0.7924
Rb 0.2076 0.2076 0.2076
CELL_PARAMETERS angstrom
3.1211 1.8020 9.5440
-3.1211 1.8020 9.5440
0.0000 -3.6039 9.5440
```

***

Record 3
Computed, not measured: a relaxed structure of CsHgAsS3 at the PBE-GGA level of DFT. Values from VASP.

Summary:
Its energy is -85.2 eV per cell.

Geometry as Quantum ESPRESSO input:
```
&SYSTEM
  ibrav = 0, nat = 24, ntyp = 4
/
ATOMIC_SPECIES
Cs 132.91 Cs.upf
S 32.06 S.upf
Hg 200.59 Hg.upf
As 74.92 As.upf
ATOMIC_POSITIONS crystal
Cs 0.3893 0.7119 0.8176
Cs 0.6107 0.2119 0.6824
Cs 0.6107 0.2881 0.1824
Cs 0.3893 0.7881 0.3176
S 0.2749 0.5997 0.5163
S 0.1620 0.3526 0.8708
S 0.1620 0.1474 0.3708
S 0.2391 0.3018 0.1537
S 0.7609 0.8018 0.3463
S 0.8380 0.6474 0.1292
S 0.2749 0.9003 0.0163
S 0.7251 0.0997 0.9837
S 0.7609 0.6982 0.8463
S 0.2391 0.1982 0.6537
S 0.8380 0.8526 0.6292
S 0.7251 0.4003 0.4837
Hg 0.9820 0.3368 0.1385
Hg 0.9820 0.1632 0.6385
Hg 0.0180 0.6632 0.8615
Hg 0.0180 0.8368 0.3615
As 0.9032 0.8505 0.0341
As 0.0968 0.3505 0.4659
As 0.9032 0.6495 0.5341
As 0.0968 0.1495 0.9659
CELL_PARAMETERS angstrom
10.3660 0.0000 0.0000
0.0000 6.8125 0.0000
-9.4051 0.0000 10.6458
```

***

Record 4
Computed, not measured: a relaxed structure of Cs2Hg2SbAs at the PBE-GGA level of DFT. Values from VASP.

Summary:
Its energy is -13.2 eV per cell.

Geometry as Quantum ESPRESSO input:
```
&SYSTEM
  ibrav = 0, nat = 6, ntyp = 4
/
ATOMIC_SPECIES
Cs 132.91 Cs.upf
As 74.92 As.upf
Sb 121.76 Sb.upf
Hg 200.59 Hg.upf
ATOMIC_POSITIONS crystal
Cs 0.6667 0.3333 0.2604
Cs 0.6667 0.3333 0.7396
As 0.0000 0.0000 0.5000
Sb 0.3333 0.6667 0.0000
Hg 0.0000 0.0000 0.0000
Hg 0.3333 0.6667 0.5000
CELL_PARAMETERS angstrom
4.8089 0.0000 0.0000
-2.4044 4.1646 0.0000
0.0000 0.0000 11.7154
```

***

Q: Which formula does entry 2 have?
A: Cs2Rb2HgAs2